The following is a DFT calculation (PBE-GGA) of a relaxed structure of CoCu2Ni.

The structure belongs to space group R3m (No. 160, hexagonal axes); the cell edges are 2.5088, 2.5088 and 24.9829 Å and the angles 90.00°, 90.00° and 120.00°. The inequivalent atoms are Co at (0.0000, 0.0000, 0.0000), Cu at (0.0000, 0.0000, 0.5032), Cu at (0.0000, 0.0000, 0.7510) and Ni at (0.0000, 0.0000, 0.2535).

The value obtained for the density of states at the Fermi level is 3.164 states/eV/f.u.



The following is a DFT calculation (PBE-GGA) of a relaxed structure of Co2CuNi3.

The structure belongs to space group P-3m1 (No. 164); the cell edges are 4.9946, 4.9946 and 6.1440 Å and the angles 90.00°, 90.00° and 120.00°. The inequivalent atoms are Co at (0.0000, 0.0000, 0.0000), Co at (0.0000, 0.5000, 0.0000), Cu at (0.3333, 0.6667, 0.3364) and Ni at (0.1656, 0.3311, 0.6708).

The value obtained for the density of states at the Fermi level is 7.393 states/eV/f.u. The energy above the most stable polymorph in this dataset is 35 meV/atom.



The following is a DFT calculation (PBE-GGA) of a relaxed structure of CoCu2Ni9.

The structure belongs to space group P4/mmm (No. 123); the cell edges are 3.536, 3.536 and 10.594 Å and the angles 90.00°, 90.00° and 90.00°. The inequivalent atoms are Co at (0.000, 0.000, 0.000), Cu at (0.000, 0.000, 0.333), Ni at (0.000, 0.500, 0.164), Ni at (0.000, 0.500, 0.500), Ni at (0.500, 0.500, 0.000) and Ni at (0.500, 0.500, 0.332).

The value obtained for the density of states at the Fermi level is 15.342 states/eV/f.u.



The following is a DFT calculation (PBE-GGA) of a relaxed structure of CoCu2Ni.

The structure belongs to space group Pmm2 (No. 25); the cell edges are 2.526, 3.555 and 5.079 Å and the angles 90.00°, 90.00° and 90.00°. The inequivalent atoms are Co at (0.000, 0.000, 0.000), Cu at (0.000, 0.000, 0.512), Cu at (0.500, 0.500, 0.265) and Ni at (0.500, 0.500, 0.777).

The value obtained for the density of states at the Fermi level is 3.842 states/eV/f.u.



The following is a DFT calculation (PBE-GGA) of a relaxed structure of Co2Cu3Ni6.

The structure belongs to space group R-3m (No. 166, hexagonal axes); the cell edges are 2.5016, 2.5016 and 67.7567 Å and the angles 90.00°, 90.00° and 120.00°. The inequivalent atoms are Co at (0.0000, 0.0000, 0.0449), Cu at (0.0000, 0.0000, 0.2278), Cu at (0.0000, 0.0000, 0.5000), Ni at (0.0000, 0.0000, 0.1361), Ni at (0.0000, 0.0000, 0.3182) and Ni at (0.0000, 0.0000, 0.4079).

The value obtained for the density of states at the Fermi level is 11.577 states/eV/f.u.



The following is a DFT calculation (PBE-GGA) of a relaxed structure of CoCu2Ni.

The structure belongs to space group Cm (No. 8); the cell edges are 8.316, 2.495 and 4.446 Å and the angles 90.00°, 98.83° and 90.00°. The inequivalent atoms are Co at (0.000, 0.000, 0.000), Cu at (0.248, 0.000, 0.727), Cu at (0.496, 0.000, 0.490) and Ni at (0.245, 0.500, 0.218).

The value obtained for the density of states at the Fermi level is 3.369 states/eV/f.u.



The following is a DFT calculation (PBE-GGA) of a relaxed structure of CoCu2Ni2.

The structure belongs to space group P4/mbm (No. 127); the cell edges are 6.811, 6.811 and 2.563 Å and the angles 90.00°, 90.00° and 90.00°. The inequivalent atoms are Co at (0.000, 0.000, 0.000), Cu at (0.127, 0.373, 0.000) and Ni at (0.172, 0.672, 0.500).

The value obtained for the density of states at the Fermi level is 7.314 states/eV/f.u. The energy above the most stable polymorph in this dataset is 296 meV/atom.



The following is a DFT calculation (PBE-GGA) of a relaxed structure of CoCu2Ni2.

The structure belongs to space group P4/mbm (No. 127); the cell edges are 6.803, 6.803 and 2.576 Å and the angles 90.00°, 90.00° and 90.00°. The inequivalent atoms are Co at (0.000, 0.000, 0.000), Cu at (0.172, 0.328, 0.500) and Ni at (0.126, 0.626, 0.000).

The value obtained for the density of states at the Fermi level is 5.892 states/eV/f.u. The energy above the most stable polymorph in this dataset is 295 meV/atom.



The following is a DFT calculation (PBE-GGA) of a relaxed structure of CoCuNi.

The structure belongs to space group P3m1 (No. 156); the cell edges are 2.5044, 2.5044 and 6.2038 Å and the angles 90.00°, 90.00° and 120.00°. The inequivalent atoms are Co at (0.0000, 0.0000, 0.0000), Cu at (0.3333, 0.6667, 0.3402) and Ni at (0.6667, 0.3333, 0.6792).

The value obtained for the density of states at the Fermi level is 3.689 states/eV/f.u. The energy above the most stable polymorph in this dataset is 43 meV/atom.



The following is a DFT calculation (PBE-GGA) of a relaxed structure of CoCu2Ni2.

The structure belongs to space group P-3m1 (No. 164); the cell edges are 2.5094, 2.5094 and 10.3464 Å and the angles 90.00°, 90.00° and 120.00°. The inequivalent atoms are Co at (0.0000, 0.0000, 0.0000), Cu at (0.3333, 0.6667, 0.3967) and Ni at (0.3333, 0.6667, 0.8060).

The value obtained for the density of states at the Fermi level is 4.920 states/eV/f.u. The energy above the most stable polymorph in this dataset is 0 meV/atom.



The following is a DFT calculation (PBE-GGA) of a relaxed structure of CoCu4Ni7.

The structure belongs to space group P-3m1 (No. 164); the cell edges are 2.5033, 2.5033 and 24.6836 Å and the angles 90.00°, 90.00° and 120.00°. The inequivalent atoms are Co at (0.0000, 0.0000, 0.0000), Cu at (0.3333, 0.6667, 0.1664), Cu at (0.3333, 0.6667, 0.4162), Ni at (0.0000, 0.0000, 0.2504), Ni at (0.0000, 0.0000, 0.5000), Ni at (0.3333, 0.6667, 0.6679) and Ni at (0.3333, 0.6667, 0.9187).

The value obtained for the density of states at the Fermi level is 19.564 states/eV/f.u.



The following is a DFT calculation (PBE-GGA) of a relaxed structure of CoCu3Ni.

The structure belongs to space group Pm-3m (No. 221); the cell edges are 4.318, 4.318 and 4.318 Å and the angles 90.00°, 90.00° and 90.00°. The inequivalent atoms are Co at (0.000, 0.000, 0.000), Cu at (0.000, 0.000, 0.500) and Ni at (0.500, 0.500, 0.500).

The value obtained for the density of states at the Fermi level is 5.360 states/eV/f.u. The energy above the most stable polymorph in this dataset is 55 meV/atom.



Listing size of the total moment for the structures above in their given order: 5.64; 10.27; 7.47; 2.15; 20.04; 4.16; 4.74; 4.72; 2.24; 2.86; 2.93; 1.71 Bohr magnetons per cell.
Listing ΔE_f for the structures above in their given order: 17; 26; 25; 30; 9; 32; 150; 150; 16; 8; 28; 591 kJ/mol of formula units.